No. 1
The following is a PBE calculation of crystalline TbNi4Ru at its relaxed geometry, from Alexandria.

a b c (Å): 4.888 4.888 4.888
angles (deg): 60.00 60.00 60.00
Fractional coordinates of all 6 atoms:
Tb1 0.000 0.000 0.000
Ni1 0.128 0.624 0.624
Ni2 0.624 0.128 0.624
Ni3 0.624 0.624 0.128
Ni4 0.624 0.624 0.624
Ru1 0.250 0.250 0.250

Output
- Formation energy: -0.111 eV per atom
- Symmetry: F-43m, No. 216
- Raw total energy: -6.28 eV per atom

***

No. 2
The following is a PBE calculation of crystalline BaCuIr at its relaxed geometry, from Alexandria.

a b c (Å): 4.860 4.860 4.860
angles (deg): 60.00 60.00 60.00
Fractional coordinates of all 3 atoms:
Ba1 0.000 0.000 0.000
Cu1 0.250 0.250 0.250
Ir1 0.750 0.750 0.750

Output
- Formation energy: 1.199 eV per atom
- Symmetry: F-43m, No. 216
- Raw total energy: -3.76 eV per atom
- Energy above the lowest structure with this stoichiometry: 1.269 eV/atom

***

No. 3
The following is a PBE calculation of crystalline ErU2C at its relaxed geometry, from Alexandria.

a b c (Å): 9.058 9.058 9.058
angles (deg): 20.70 20.70 20.70
Fractional coordinates of all 4 atoms:
Er1 0.000 0.000 0.000
U1 0.222 0.222 0.222
U2 0.778 0.778 0.778
C1 0.500 0.500 0.500

Output
- Formation energy: 0.146 eV per atom
- Symmetry: R-3m, No. 166
- Raw total energy: -8.95 eV per atom

***

No. 4
The following is a PBE calculation of crystalline Rb3NaCr at its relaxed geometry, from Alexandria.

a b c (Å): 7.140 7.140 7.140
angles (deg): 90.00 90.00 90.00
Fractional coordinates of all 5 atoms:
Rb1 0.000 0.000 0.500
Rb2 0.000 0.500 0.000
Rb3 0.500 0.000 0.000
Na1 0.500 0.500 0.500
Cr1 0.000 0.000 0.000

Output
- Formation energy: 0.612 eV per atom
- Symmetry: Pm-3m, No. 221
- Raw total energy: -2.16 eV per atom
- Energy above the lowest structure with this stoichiometry: 0.000 eV/atom

***

No. 5
The following is a PBE calculation of crystalline HfCdAg2 at its relaxed geometry, from Alexandria.

a b c (Å): 6.166 6.166 6.166
angles (deg): 102.95 102.95 123.50
Fractional coordinates of all 8 atoms:
Hf1 0.000 0.000 0.000
Hf2 0.750 0.250 0.500
Cd1 0.250 0.750 0.500
Cd2 0.500 0.500 0.000
Ag1 0.127 0.625 0.002
Ag2 0.375 0.377 0.502
Ag3 0.623 0.125 0.998
Ag4 0.875 0.873 0.498

Output
- Formation energy: 0.419 eV per atom
- Symmetry: I-42d, No. 122
- Raw total energy: -3.72 eV per atom

***

No. 6
The following is a PBE calculation of crystalline TaCuSi3 at its relaxed geometry, from Alexandria.

a b c (Å): 4.408 4.408 4.408
angles (deg): 90.00 90.00 90.00
Fractional coordinates of all 5 atoms:
Ta1 0.000 0.000 0.000
Cu1 0.500 0.500 0.500
Si1 0.000 0.500 0.500
Si2 0.500 0.000 0.500
Si3 0.500 0.500 0.000

Output
- Symmetry: Pm-3m, No. 221
- Raw total energy: -5.42 eV per atom